(1)
Material: Na2HgBiPd
Method: DFT, PBE
State: relaxed

The structure in CIF format:
```
data_Na2HgBiPd
_chemical_formula_sum 'Na2 Hg1 Bi1 Pd1'
_cell_length_a 5.652
_cell_length_b 5.652
_cell_length_c 5.083
_cell_angle_alpha 90.00
_cell_angle_beta 90.00
_cell_angle_gamma 90.00
_symmetry_space_group_name_H-M 'P 4/m m m'
_symmetry_Int_Tables_number 123
_symmetry_space_group_name_Hall '-P 4 2'
loop_
_atom_site_label
_atom_site_fract_x
_atom_site_fract_y
_atom_site_fract_z
_atom_site_occupancy
Na1 0.000 0.500 0.000 1
Hg1 0.000 0.000 0.500 1
Bi1 0.500 0.500 0.500 1
Pd1 0.500 0.500 0.000 1
```

Calculated values
- Magnetization: 0.00 μB/f.u.
- V: 162.4 Å³/f.u.
- ΔE_f: -11 kJ/mol of atoms
- Final energy: -2.513 eV/atom



(2)
Material: Na2Hg2BiPd5
Method: DFT, PBE
State: relaxed

The structure in CIF format:
```
data_Na2Hg2BiPd5
_chemical_formula_sum 'Na4 Hg4 Bi2 Pd10'
_cell_length_a 9.940
_cell_length_b 9.940
_cell_length_c 4.069
_cell_angle_alpha 90.00
_cell_angle_beta 90.00
_cell_angle_gamma 90.00
_symmetry_space_group_name_H-M 'P 4/m b m'
_symmetry_Int_Tables_number 127
_symmetry_space_group_name_Hall '-P 4 2ab'
loop_
_atom_site_label
_atom_site_fract_x
_atom_site_fract_y
_atom_site_fract_z
_atom_site_occupancy
Na1 0.169 0.331 0.000 1
Hg1 0.130 0.630 0.000 1
Bi1 0.000 0.000 0.000 1
Pd1 0.000 0.500 0.500 1
Pd2 0.063 0.802 0.500 1
```

Calculated values
- Magnetization: 0.00 μB/f.u.
- V: 201.0 Å³/f.u.
- ΔE_f: -20 kJ/mol of atoms
- Final energy: -3.515 eV/atom